# Mn3CoO, optimized geometry, DFT PBE+U
data_Mn3CoO
_space_group_name_H-M_alt 'P 1'
_space_group_IT_number 1
_cell_length_a 4.265
_cell_length_b 4.265
_cell_length_c 4.265
_cell_angle_alpha 90.00
_cell_angle_beta 90.00
_cell_angle_gamma 90.00
loop_
_space_group_symop_operation_xyz
'x,y,z'
loop_
_atom_site_label
_atom_site_type_symbol
_atom_site_fract_x
_atom_site_fract_y
_atom_site_fract_z
Mn1 Mn 0.500 0.000 0.000
Mn2 Mn 0.000 0.000 0.500
Mn3 Mn 0.000 0.500 0.000
Co1 Co 0.500 0.500 0.500
O1 O 0.000 0.000 0.000
# - Crystal system: cubic
# - Theoretical density: 5.13 Mg/m³
# - Space-group type: No. 221
# - Energy relative to the lowest polymorph listed for this composition: 0.0 meV/atom